Sc3WO | Alexandria via LeMat-Bulk | PBE with a Hubbard U | relaxed; offset from the most stable computed form = 2.010 eV/atom; magnetization = 1.2 μB/f.u.; SG = Pm-3m (221)
1.0
-1.744 2.263 -4.233
-0.865 -4.578 -2.091
-4.721 0.002 1.946
Sc O W
3 1 1
Cartesian
-0.432 -2.289 -1.046
-2.361 0.001 0.973
-0.872 1.132 -2.116
-3.665 -1.156 -2.189
0.000 0.000 0.000